[1]
Material: La3Ag9Au2
Method: DFT, PBE-GGA
State: relaxed

Properties
- total magnetic moment (μB per atom) = 0.000
- calculated total energy (eV per atom) = -3.6375
- D(E_F) (states/eV/cell) = 12.95
- formation energy (kJ/mol of formula units) = -379

The structure in CIF format:
```
data_La3Ag9Au2
_cell_length_a 4.7262
_cell_length_b 9.6623
_cell_length_c 13.8850
_cell_angle_alpha 90.00
_cell_angle_beta 90.00
_cell_angle_gamma 90.00
_symmetry_space_group_name_H-M 'I m m m'
_symmetry_Int_Tables_number 71
_symmetry_space_group_name_Hall '-I 2 2'
loop_
_atom_site_label
_atom_site_type_symbol
_atom_site_fract_x
_atom_site_fract_y
_atom_site_fract_z
_atom_site_occupancy
La1 La 0.0000 0.0000 0.0000 1
La2 La 0.0000 0.0000 0.3172 1
Ag1 Ag 0.0000 0.2748 0.1232 1
Ag2 Ag 0.0000 0.3576 0.3183 1
Ag3 Ag 0.0000 0.5000 0.0000 1
Au1 Au 0.0000 0.2183 0.5000 1
```

***

[2]
Material: La3AgAu
Method: DFT, PBE-GGA
State: relaxed

Properties
- total magnetic moment (μB per atom) = 0.000
- excess energy over the best structure of this formula in the dataset (meV/atom) = 42.0
- calculated total energy (eV per atom) = -4.5480
- D(E_F) (states/eV/cell) = 12.68
- formation energy (kJ/mol of formula units) = -176

The structure in CIF format:
```
data_La3AgAu
_cell_length_a 4.8717
_cell_length_b 6.5889
_cell_length_c 10.1923
_cell_angle_alpha 96.70
_cell_angle_beta 90.05
_cell_angle_gamma 111.66
_symmetry_space_group_name_H-M 'P -1'
_symmetry_Int_Tables_number 2
loop_
_symmetry_equiv_pos_as_xyz
'x,y,z'
'-x,-y,-z'
loop_
_atom_site_label
_atom_site_type_symbol
_atom_site_fract_x
_atom_site_fract_y
_atom_site_fract_z
_atom_site_occupancy
La1 La 0.0688 0.1350 0.3457 1
La2 La 0.3533 0.7061 0.9138 1
La3 La 0.3582 0.7146 0.2995 1
Ag1 Ag 0.2675 0.5362 0.5870 1
Au1 Au 0.0886 0.1785 0.9074 1
```

***

[3]
Material: LiLa2AgAu2
Method: DFT, PBE-GGA
State: relaxed

Properties
- total magnetic moment (μB per atom) = 0.000
- calculated total energy (eV per atom) = -4.0971
- D(E_F) (states/eV/cell) = 17.43
- formation energy (kJ/mol of formula units) = -329

The structure in CIF format:
```
data_LiLa2AgAu2
_cell_length_a 6.0614
_cell_length_b 15.8415
_cell_length_c 6.1386
_cell_angle_alpha 90.00
_cell_angle_beta 90.00
_cell_angle_gamma 90.00
_symmetry_space_group_name_H-M 'I b a m'
_symmetry_Int_Tables_number 72
_symmetry_space_group_name_Hall '-I 2 2c'
loop_
_atom_site_label
_atom_site_type_symbol
_atom_site_fract_x
_atom_site_fract_y
_atom_site_fract_z
_atom_site_occupancy
Li1 Li 0.0000 0.0000 0.2500 1
La1 La 0.2266 0.3367 0.0000 1
Ag1 Ag 0.0000 0.5000 0.2500 1
Au1 Au 0.2251 0.1290 0.0000 1
```

***

[4]
Material: LiLaAg2Au
Method: DFT, PBE-GGA
State: relaxed

Properties
- total magnetic moment (μB per atom) = 0.000
- calculated total energy (eV per atom) = -3.3908
- D(E_F) (states/eV/cell) = 2.33
- formation energy (kJ/mol of formula units) = -109

The structure in CIF format:
```
data_LiLaAg2Au
_cell_length_a 4.7396
_cell_length_b 4.7396
_cell_length_c 4.8473
_cell_angle_alpha 90.00
_cell_angle_beta 90.00
_cell_angle_gamma 90.00
_symmetry_space_group_name_H-M 'P 4/m m m'
_symmetry_Int_Tables_number 123
_symmetry_space_group_name_Hall '-P 4 2'
loop_
_atom_site_label
_atom_site_type_symbol
_atom_site_fract_x
_atom_site_fract_y
_atom_site_fract_z
_atom_site_occupancy
Li1 Li 0.0000 0.0000 0.0000 1
La1 La 0.5000 0.5000 0.5000 1
Ag1 Ag 0.0000 0.5000 0.0000 1
Au1 Au 0.0000 0.0000 0.5000 1
```

***

[5]
Material: LiLaAgAu2
Method: DFT, PBE-GGA
State: relaxed

Properties
- total magnetic moment (μB per atom) = 0.000
- calculated total energy (eV per atom) = -3.6248
- D(E_F) (states/eV/cell) = 2.17
- formation energy (kJ/mol of formula units) = -181

The structure in CIF format:
```
data_LiLaAgAu2
_cell_length_a 4.8020
_cell_length_b 4.8020
_cell_length_c 4.6731
_cell_angle_alpha 90.00
_cell_angle_beta 90.00
_cell_angle_gamma 90.00
_symmetry_space_group_name_H-M 'P 4/m m m'
_symmetry_Int_Tables_number 123
_symmetry_space_group_name_Hall '-P 4 2'
loop_
_atom_site_label
_atom_site_type_symbol
_atom_site_fract_x
_atom_site_fract_y
_atom_site_fract_z
_atom_site_occupancy
Li1 Li 0.0000 0.0000 0.0000 1
La1 La 0.5000 0.5000 0.5000 1
Ag1 Ag 0.0000 0.0000 0.5000 1
Au1 Au 0.0000 0.5000 0.0000 1
```

***

[6]
Material: Li2LaAgAu4
Method: DFT, PBE-GGA
State: relaxed

Properties
- total magnetic moment (μB per atom) = 0.000
- calculated total energy (eV per atom) = -3.6044
- D(E_F) (states/eV/cell) = 9.80
- formation energy (kJ/mol of formula units) = -397

The structure in CIF format:
```
data_Li2LaAgAu4
_cell_length_a 4.5382
_cell_length_b 4.5382
_cell_length_c 27.2806
_cell_angle_alpha 90.00
_cell_angle_beta 90.00
_cell_angle_gamma 120.00
_symmetry_space_group_name_H-M 'R -3 m'
_symmetry_Int_Tables_number 166
_symmetry_space_group_name_Hall '-R 3 2"'
loop_
_atom_site_label
_atom_site_type_symbol
_atom_site_fract_x
_atom_site_fract_y
_atom_site_fract_z
_atom_site_occupancy
Li1 Li 0.0000 0.0000 0.2266 1
La1 La 0.0000 0.0000 0.0000 1
Ag1 Ag 0.0000 0.0000 0.5000 1
Au1 Au 0.0000 0.0000 0.1200 1
Au2 Au 0.0000 0.0000 0.3964 1
```

***

[7]
Material: Li2LaAgAu2
Method: DFT, PBE-GGA
State: relaxed

Properties
- total magnetic moment (μB per atom) = 0.000
- calculated total energy (eV per atom) = -3.5752
- D(E_F) (states/eV/cell) = 2.65
- formation energy (kJ/mol of formula units) = -317

The structure in CIF format:
```
data_Li2LaAgAu2
_cell_length_a 4.5247
_cell_length_b 4.5247
_cell_length_c 6.9069
_cell_angle_alpha 90.00
_cell_angle_beta 90.00
_cell_angle_gamma 120.00
_symmetry_space_group_name_H-M 'P -3 m 1'
_symmetry_Int_Tables_number 164
_symmetry_space_group_name_Hall '-P 3 2"'
loop_
_atom_site_label
_atom_site_type_symbol
_atom_site_fract_x
_atom_site_fract_y
_atom_site_fract_z
_atom_site_occupancy
Li1 Li 0.3333 0.6667 0.1448 1
La1 La 0.0000 0.0000 0.5000 1
Ag1 Ag 0.0000 0.0000 0.0000 1
Au1 Au 0.3333 0.6667 0.7600 1
```

***

[8]
Material: Li2LaAgAu5
Method: DFT, PBE-GGA
State: relaxed

Properties
- total magnetic moment (μB per atom) = 0.000
- calculated total energy (eV per atom) = -3.5007
- D(E_F) (states/eV/cell) = 2.19
- formation energy (kJ/mol of formula units) = -339

The structure in CIF format:
```
data_Li2LaAgAu5
_cell_length_a 4.8686
_cell_length_b 4.8686
_cell_length_c 7.3813
_cell_angle_alpha 90.00
_cell_angle_beta 90.00
_cell_angle_gamma 90.00
_symmetry_space_group_name_H-M 'P 4/m m m'
_symmetry_Int_Tables_number 123
_symmetry_space_group_name_Hall '-P 4 2'
loop_
_atom_site_label
_atom_site_type_symbol
_atom_site_fract_x
_atom_site_fract_y
_atom_site_fract_z
_atom_site_occupancy
Li1 Li 0.0000 0.0000 0.1562 1
La1 La 0.5000 0.5000 0.5000 1
Ag1 Ag 0.5000 0.5000 0.0000 1
Au1 Au 0.0000 0.0000 0.5000 1
Au2 Au 0.0000 0.5000 0.2205 1
```

***

[9]
Material: LaMg2AgAu4
Method: DFT, PBE-GGA
State: relaxed

Properties
- total magnetic moment (μB per atom) = 0.000
- calculated total energy (eV per atom) = -3.5544
- D(E_F) (states/eV/cell) = 11.92
- formation energy (kJ/mol of formula units) = -420

The structure in CIF format:
```
data_LaMg2AgAu4
_cell_length_a 4.6505
_cell_length_b 4.6505
_cell_length_c 27.2825
_cell_angle_alpha 90.00
_cell_angle_beta 90.00
_cell_angle_gamma 120.00
_symmetry_space_group_name_H-M 'R -3 m'
_symmetry_Int_Tables_number 166
_symmetry_space_group_name_Hall '-R 3 2"'
loop_
_atom_site_label
_atom_site_type_symbol
_atom_site_fract_x
_atom_site_fract_y
_atom_site_fract_z
_atom_site_occupancy
La1 La 0.0000 0.0000 0.0000 1
Mg1 Mg 0.0000 0.0000 0.2312 1
Ag1 Ag 0.0000 0.0000 0.5000 1
Au1 Au 0.0000 0.0000 0.1213 1
Au2 Au 0.0000 0.0000 0.3961 1
```

***

[10]
Material: LaMgAg2Au4
Method: DFT, PBE-GGA
State: relaxed

Properties
- total magnetic moment (μB per atom) = 0.000
- calculated total energy (eV per atom) = -3.6038
- D(E_F) (states/eV/cell) = 10.25
- formation energy (kJ/mol of formula units) = -337

The structure in CIF format:
```
data_LaMgAg2Au4
_cell_length_a 4.7912
_cell_length_b 4.7912
_cell_length_c 24.9606
_cell_angle_alpha 90.00
_cell_angle_beta 90.00
_cell_angle_gamma 120.00
_symmetry_space_group_name_H-M 'R -3 m'
_symmetry_Int_Tables_number 166
_symmetry_space_group_name_Hall '-R 3 2"'
loop_
_atom_site_label
_atom_site_type_symbol
_atom_site_fract_x
_atom_site_fract_y
_atom_site_fract_z
_atom_site_occupancy
La1 La 0.0000 0.0000 0.0000 1
Mg1 Mg 0.0000 0.0000 0.5000 1
Ag1 Ag 0.0000 0.0000 0.2458 1
Au1 Au 0.0000 0.0000 0.1296 1
Au2 Au 0.0000 0.0000 0.3906 1
```

***

[11]
Material: NaLaAgAu
Method: DFT, PBE-GGA
State: relaxed

Properties
- total magnetic moment (μB per atom) = 0.000
- calculated total energy (eV per atom) = -3.4728
- D(E_F) (states/eV/cell) = 14.11
- formation energy (kJ/mol of formula units) = -146

The structure in CIF format:
```
data_NaLaAgAu
_cell_length_a 7.3641
_cell_length_b 7.3641
_cell_length_c 7.3641
_cell_angle_alpha 90.00
_cell_angle_beta 90.00
_cell_angle_gamma 90.00
_symmetry_space_group_name_H-M 'F -4 3 m'
_symmetry_Int_Tables_number 216
_symmetry_space_group_name_Hall 'F -4 2 3'
loop_
_atom_site_label
_atom_site_type_symbol
_atom_site_fract_x
_atom_site_fract_y
_atom_site_fract_z
_atom_site_occupancy
Na1 Na 0.0000 0.0000 0.0000 1
La1 La 0.0000 0.0000 0.5000 1
Ag1 Ag 0.2500 0.2500 0.7500 1
Au1 Au 0.2500 0.2500 0.2500 1
```

***

[12]
Material: La2AgAuO5
Method: DFT, PBE-GGA
State: relaxed

Properties
- total magnetic moment (μB per atom) = 0.000
- calculated total energy (eV per atom) = -6.4050
- formation energy (no corrections) (eV/atom) = -1.875
- D(E_F) (states/eV/cell) = 0.00

The structure in CIF format:
```
data_La2AgAuO5
_cell_length_a 6.9937
_cell_length_b 6.9937
_cell_length_c 5.8871
_cell_angle_alpha 90.00
_cell_angle_beta 90.00
_cell_angle_gamma 90.00
_symmetry_space_group_name_H-M 'P 4/m b m'
_symmetry_Int_Tables_number 127
_symmetry_space_group_name_Hall '-P 4 2ab'
loop_
_atom_site_label
_atom_site_type_symbol
_atom_site_fract_x
_atom_site_fract_y
_atom_site_fract_z
_atom_site_occupancy
La1 La 0.1804 0.3196 0.0000 1
Ag1 Ag 0.0000 0.0000 0.5000 1
Au1 Au 0.0000 0.5000 0.5000 1
O1 O 0.0000 0.0000 0.0000 1
O2 O 0.1350 0.6350 0.2464 1
```